No. 1
VASP calculation (GGA-PBE) on an optimized crystal structure of LiSi3N4.

Unit cell a=6.5514 b=5.0638 c=4.8155 alpha=90.00 beta=90.00 gamma=90.00
Closest atoms and distances in Å follow each position.
Space group Pmn2_1 (No. 31)
Inequivalent atoms, fractional coordinates:
Li1 0.0000 0.1738 0.0000 [2 per cell]  4 N 2.11-2.16
Si1 0.0000 0.8179 0.4826 [2 per cell]  4 N 1.75-1.78
Si2 0.2489 0.3207 0.4888 [4 per cell]  4 N 1.79-1.85
N1 0.0000 0.1575 0.5521 [2 per cell]  3 Si 1.75-1.85
N2 0.0000 0.7743 0.1215 [2 per cell]  3 Si 1.75-1.83
N3 0.2143 0.6489 0.6218 [4 per cell]  3 Si 1.78-1.80

Calculated values
ΔE_f (raw) = -804 meV/atom
E = -7.24 eV per atom
V = 9.98 Å³ per atom
ρ = 3.06 g cm⁻³

=====

No. 2
VASP calculation (GGA-PBE) on an optimized crystal structure of Li3Si2N4.

Unit cell a=10.5369 b=2.9057 c=8.1660 alpha=90.00 beta=129.88 gamma=90.00
Closest atoms and distances in Å follow each position.
Space group C2/m (No. 12)
Inequivalent atoms, fractional coordinates:
Li1 0.0000 0.0000 0.0000 [2 per cell]  6 N 2.23-2.36
Li2 0.1977 0.0000 0.8336 [4 per cell]  3 N 2.10-2.11
Si1 0.1371 0.5000 0.3467 [4 per cell]  4 N 1.68-1.84
N1 0.0669 0.5000 0.8591 [4 per cell]  1 Si 1.68
N2 0.2429 0.0000 0.3620 [4 per cell]  3 Si 1.79-1.84

Calculated values
ΔE_f (raw) = -638 meV/atom
E = -6.18 eV per atom
V = 10.66 Å³ per atom
ρ = 2.30 g cm⁻³

=====

Look up the V of the first one.
9.98 Å³ per atom